A relaxed Cs2Te2Se crystal, computed with PBE.

Calculated values
energy above the most stable polymorph in this dataset = 0 kJ/mol of formula units
raw formation energy = -0.71 eV per atom
space group = No. 12
DOS(E_F) = 4.60 states/eV per cell

Cell: 7.2211 7.2211 14.5284 Å, 112.73 112.73 43.63°
Closest atoms and distances in Å follow each position.
Atoms (fractional coordinates):
Cs: 0.0988 0.0988 0.3794  2 Se 3.60, 3 Te 3.79-3.95
Cs: 0.2904 0.2904 0.8658  2 Se 3.85, 5 Te 3.89-4.06
Cs: 0.7096 0.7096 0.1342  2 Se 3.85, 5 Te 3.89-4.06
Cs: 0.9012 0.9012 0.6206  2 Se 3.60, 3 Te 3.79-3.95
Te: 0.0294 0.0294 0.9198  1 Te 2.75
Te: 0.4058 0.4058 0.3936  1 Se 2.65
Te: 0.5942 0.5942 0.6064  1 Se 2.65
Te: 0.9706 0.9706 0.0802  1 Te 2.75
Se: 0.4359 0.4359 0.2248  1 Te 2.65
Se: 0.5641 0.5641 0.7752  1 Te 2.65